Density functional theory data (GGA-PBE) for a relaxed structure of NbGaFe2H.

Cell: 3.7698 3.7698 4.1223 Å, 90.00 90.00 90.00°
Atoms (fractional coordinates):
Nb (0.0000, 0.0000, 0.0000)
Ga (0.5000, 0.5000, 0.0000)
Fe (0.0000, 0.5000, 0.5000)
Fe (0.5000, 0.0000, 0.5000)
H (0.0000, 0.0000, 0.5000)

Summary:
The calculation puts the calculated density at 7.80 g/cm³. As for the total magnetic moment: 4.6 μB per formula unit. The value obtained for the total energy is -6.7654 eV per atom. As for the density of states at the Fermi level: 3.31 states/eV per cell.

=====

Density functional theory data (GGA-PBE) for a relaxed structure of Y3OsC3.

Cell: 6.8013 6.8013 5.1178 Å, 90.00 90.00 100.63°
Atoms (fractional coordinates):
Y (0.1074, 0.8926, 0.7500)
Y (0.1665, 0.4065, 0.7500)
Y (0.4065, 0.1665, 0.2500)
Y (0.5935, 0.8335, 0.7500)
Y (0.8335, 0.5935, 0.2500)
Y (0.8926, 0.1074, 0.2500)
Os (0.3068, 0.6932, 0.2500)
Os (0.6932, 0.3068, 0.7500)
C (0.1220, 0.8780, 0.2500)
C (0.1675, 0.4189, 0.2500)
C (0.4189, 0.1675, 0.7500)
C (0.5811, 0.8325, 0.2500)
C (0.8325, 0.5811, 0.7500)
C (0.8780, 0.1220, 0.7500)

Summary:
The calculation puts the calculated density at 7.04 g/cm³. The value obtained for the energy relative to the elements is -358 meV/atom. As for the total magnetic moment: 0.2 μB per formula unit. As for the density of states at the Fermi level: 8.16 states/eV per cell.

=====

Density functional theory data (GGA-PBE) for a relaxed structure of TlIr2N.

Cell: 4.4170 4.4170 4.4170 Å, 60.00 60.00 60.00°
Atoms (fractional coordinates):
Tl (0.0000, 0.0000, 0.0000)
Ir (0.2500, 0.2500, 0.2500)
Ir (0.7500, 0.7500, 0.7500)
N (0.5000, 0.5000, 0.5000)

Summary:
The uncorrected formation energy comes out at 1.743 eV per atom. The calculation puts the calculated density at 16.43 g/cm³. As for the total magnetic moment: 0.0 μB per formula unit. As for the density of states at the Fermi level: 5.41 states/eV per cell.

=====

Density functional theory data (GGA-PBE) for a relaxed structure of La3TlAu.

Cell: 5.7911 5.7911 5.7911 Å, 90.00 90.00 90.00°
Atoms (fractional coordinates):
La (0.0000, 0.0000, 0.5000)
La (0.0000, 0.5000, 0.0000)
La (0.5000, 0.0000, 0.0000)
Tl (0.5000, 0.5000, 0.5000)
Au (0.0000, 0.0000, 0.0000)

Summary:
The calculation puts the calculated density at 6.99 g/cm³. The value obtained for the energy relative to the elements is -143 meV/atom. As for the total magnetic moment: 0.0 μB per formula unit. As for the density of states at the Fermi level: 12.47 states/eV per cell.